1.
YMgS3: relaxed, PBE-GGA.

Properties
The value obtained for the energy above the most stable polymorph in this dataset is 405.2 meV/atom. The calculation puts the raw total energy at -4.947 eV per atom. Its calculated volume is 21.07 Å³/atom. As for the uncorrected formation energy: -859 meV/atom.

Unit cell a=4.7232 b=4.7232 c=4.7232 alpha=90.00 beta=90.00 gamma=90.00
Space group Pm-3m (No. 221)
Asymmetric unit:
Y  0.0000  0.0000  0.0000 [1 per cell]
Mg  0.5000  0.5000  0.5000 [1 per cell]
S  0.0000  0.5000  0.5000 [3 per cell]

=====

2.
Y2MgS: relaxed, PBE-GGA.

Properties
The value obtained for the energy above the most stable polymorph in this dataset is 576.4 meV/atom. The calculation puts the raw total energy at -5.038 eV per atom. Its calculated volume is 24.05 Å³/atom. As for the uncorrected formation energy: -375 meV/atom.

Unit cell a=7.2739 b=7.2739 c=7.2739 alpha=90.00 beta=90.00 gamma=90.00
Space group Fm-3m (No. 225)
Asymmetric unit:
Y  0.2500  0.2500  0.2500 [8 per cell]
Mg  0.0000  0.0000  0.0000 [4 per cell]
S  0.0000  0.0000  0.5000 [4 per cell]

=====

3.
Y2MgS3: relaxed, PBE-GGA.

Properties
The calculation puts the raw total energy at -6.252 eV per atom. Its calculated volume is 20.40 Å³/atom. As for the uncorrected formation energy: -1768 meV/atom.

Unit cell a=3.8447 b=3.8447 c=16.5598 alpha=90.00 beta=90.00 gamma=90.00
Space group I4/mmm (No. 139)
Asymmetric unit:
Y  0.0000  0.0000  0.1735 [4 per cell]
Mg  0.0000  0.0000  0.5000 [2 per cell]
S  0.0000  0.0000  0.0000 [2 per cell]
S  0.0000  0.0000  0.3434 [4 per cell]

=====

4.
Y3MgS6: relaxed, PBE-GGA.

Properties
The calculation puts the raw total energy at -6.302 eV per atom. Its calculated volume is 23.21 Å³/atom. As for the uncorrected formation energy: -1726 meV/atom.

Unit cell a=10.7432 b=12.8319 c=6.7332 alpha=90.00 beta=90.00 gamma=90.00
Space group Cmc2_1 (No. 36)
Asymmetric unit:
Y  0.0000  0.1003  0.0000 [4 per cell]
Y  0.1805  0.3990  0.9132 [8 per cell]
Mg  0.0000  0.3010  0.3891 [4 per cell]
S  0.0000  0.2743  0.7473 [4 per cell]
S  0.0000  0.4684  0.2050 [4 per cell]
S  0.1640  0.0329  0.7094 [8 per cell]
S  0.1717  0.2294  0.1908 [8 per cell]

=====

5.
Y8MgS4: relaxed, PBE-GGA.

Properties
The calculation puts the raw total energy at -6.574 eV per atom. Its calculated volume is 25.92 Å³/atom. As for the uncorrected formation energy: -1204 meV/atom.

Unit cell a=18.6580 b=3.8712 c=13.1903 alpha=90.00 beta=134.98 gamma=90.00
Space group C2/m (No. 12)
Asymmetric unit:
Y  0.0443  0.0000  0.2041 [4 per cell]
Y  0.1311  0.5000  0.7979 [4 per cell]
Y  0.1592  0.5000  0.1146 [4 per cell]
Y  0.1669  0.5000  0.5361 [4 per cell]
Mg  0.0000  0.0000  0.5000 [2 per cell]
S  0.1577  0.0000  0.9693 [4 per cell]
S  0.1884  0.5000  0.3462 [4 per cell]

=====

6.
Y4MgS2: relaxed, PBE-GGA.

Properties
The calculation puts the raw total energy at -6.261 eV per atom. Its calculated volume is 25.68 Å³/atom. As for the uncorrected formation energy: -1160 meV/atom.

Unit cell a=3.9816 b=13.1677 c=13.7165 alpha=90.00 beta=90.00 gamma=90.00
Space group Cmcm (No. 63)
Asymmetric unit:
Y  0.0000  0.0000  0.0000 [4 per cell]
Y  0.0000  0.2629  0.1141 [8 per cell]
Y  0.0000  0.4232  0.7500 [4 per cell]
Mg  0.0000  0.1082  0.7500 [4 per cell]
S  0.0000  0.3661  0.5574 [8 per cell]

=====

7.
Y2MgS: relaxed, PBE-GGA.

Properties
The value obtained for the energy above the most stable polymorph in this dataset is 0.0 meV/atom. The calculation puts the raw total energy at -5.614 eV per atom. Its calculated volume is 26.32 Å³/atom. As for the uncorrected formation energy: -951 meV/atom.

Unit cell a=3.7698 b=3.7698 c=25.6635 alpha=90.00 beta=90.00 gamma=120.00
Space group R3m (No. 160, hexagonal axes)
Asymmetric unit:
Y  0.0000  0.0000  0.0000 [3 per cell]
Y  0.0000  0.0000  0.2073 [3 per cell]
Mg  0.0000  0.0000  0.7705 [3 per cell]
S  0.0000  0.0000  0.6030 [3 per cell]

=====

8.
Y2MgS2: relaxed, PBE-GGA.

Properties
The calculation puts the raw total energy at -5.828 eV per atom. Its calculated volume is 20.94 Å³/atom. As for the uncorrected formation energy: -1272 meV/atom.

Unit cell a=7.6497 b=7.6497 c=3.5791 alpha=90.00 beta=90.00 gamma=90.00
Space group P4/mbm (No. 127)
Asymmetric unit:
Y  0.1564  0.3436  0.0000 [4 per cell]
Mg  0.0000  0.0000  0.5000 [2 per cell]
S  0.1429  0.6429  0.5000 [4 per cell]